Material: DyHoFe8B2
Method: DFT, PBE
State: optimized geometry

Volume ... 155 Å³/cell
Spin magnetization ... 15.11 μB/cell
Crystal system ... hexagonal
Calculated total energy ... -91.9 eV for the cell shown

a b c (Å): 5.0531 5.0531 7.0180
angles (deg): 90.00 90.00 120.00
With the nearest neighbours (Å) after each atom.
Space group P6/mmm (No. 191)
Inequivalent atoms, fractional coordinates:
1 Dy 0.0000 0.0000 0.0000  6 B 2.92, 12 Fe 2.94
2 Ho 0.0000 0.0000 0.5000  18 Fe 2.92-3.23
3 Fe 0.0000 0.5000 0.2140  2 B 2.09
4 Fe 0.3333 0.6667 0.5000  6 Fe 2.48
5 B 0.3333 0.6667 0.0000  6 Fe 2.09